This record from the Alexandria database describes crystalline Li2CaF4 at its relaxed geometry. The functional is PBE-GGA.

a = 3.1504 Å, b = 9.7324 Å, c = 9.8734 Å
α = 90.00°, β = 90.00°, γ = 90.00°
Space group Cmcm (No. 63)
Asymmetric unit:
Li: 0.0000 0.1300 0.0616
Ca: 0.0000 0.3891 0.2500
F: 0.0000 0.0568 0.2500
F: 0.0000 0.2198 0.6141
F: 0.0000 0.5000 0.0000

The calculated volume is 303 Å³/cell. The relative energy among the computed polymorphs comes out at 0.000 eV per atom. The calculation puts the electronic total energy at -5.210 eV/atom.